No. 1
The following is a PBE calculation of a relaxed Ac2HfAl crystal, from Alexandria.

Properties
calculated formation energy: 240 meV/atom
total DFT energy (no corrections): -5.239 eV per atom

Cell lengths 7.9180, 7.9180, 7.9180 Å; angles 90.00, 90.00, 90.00 degrees
Space group Fm-3m (No. 225)
One atom of each set of equivalent atoms:
1 Ac 0.2500 0.2500 0.2500 x8
2 Hf 0.0000 0.0000 0.0000 x4
3 Al 0.0000 0.0000 0.5000 x4

No. 2
The following is a PBE calculation of a relaxed Mg2VFe crystal, from Alexandria.

Properties
calculated formation energy: 541 meV/atom
total DFT energy (no corrections): -4.651 eV per atom

Cell lengths 6.4278, 6.4278, 6.4278 Å; angles 90.00, 90.00, 90.00 degrees
Space group Fm-3m (No. 225)
One atom of each set of equivalent atoms:
1 Mg 0.2500 0.2500 0.2500 x8
2 V 0.0000 0.0000 0.0000 x4
3 Fe 0.0000 0.0000 0.5000 x4

No. 3
The following is a PBE calculation of a relaxed SbTe2AsH crystal, from Alexandria.

Properties
total DFT energy (no corrections): -2.708 eV per atom

Cell lengths 5.6125, 5.6125, 5.3258 Å; angles 90.00, 90.00, 90.00 degrees
Space group P4/mmm (No. 123)
One atom of each set of equivalent atoms:
1 Sb 0.0000 0.0000 0.0000 x1
2 Te 0.0000 0.5000 0.5000 x2
3 As 0.0000 0.0000 0.5000 x1
4 H 0.5000 0.5000 0.0000 x1

No. 4
The following is a PBE calculation of a relaxed Nd2PuTl crystal, from Alexandria.

Properties
calculated formation energy: -2 meV/atom
total DFT energy (no corrections): -6.561 eV per atom

Cell lengths 3.6468, 3.6468, 32.7695 Å; angles 90.00, 90.00, 120.00 degrees
Space group R3m (No. 160, hexagonal axes)
One atom of each set of equivalent atoms:
1 Nd 0.0000 0.0000 0.0000 x3
2 Nd 0.0000 0.0000 0.1706 x3
3 Pu 0.0000 0.0000 0.4179 x3
4 Tl 0.0000 0.0000 0.5856 x3